(1)
Entry from the Alexandria database: a PBEsol-optimized structure of MgTa2Be (meta-GGA SCAN).

Computed properties:
- ΔE to the lowest computed polymorph (kJ per mole of atoms) = 0.0
- SG = No. 139

Cell: 3.935 3.935 8.158 Å, 90.00 90.00 90.00°
Positions (direct):
Mg: 0.000 0.000 0.000
Mg: 0.500 0.500 0.500
Ta: 0.000 0.500 0.250
Ta: 0.000 0.500 0.750
Ta: 0.500 0.000 0.250
Ta: 0.500 0.000 0.750
Be: 0.000 0.000 0.500
Be: 0.500 0.500 0.000

***

(2)
Entry from the Alexandria database: a PBEsol-optimized structure of RhSeBr2 (meta-GGA SCAN).

Computed properties:
- ΔE to the lowest computed polymorph (kJ per mole of atoms) = 11.9
- energy relative to the elements, uncorrected (eV/atom) = -0.1079
- SG = No. 44

Cell: 3.565 5.145 11.742 Å, 90.00 90.00 90.00°
Positions (direct):
Rh: 0.000 0.000 0.000
Rh: 0.500 0.500 0.500
Se: 0.000 0.500 0.630
Se: 0.500 0.000 0.130
Br: 0.000 0.000 0.570
Br: 0.000 0.500 0.348
Br: 0.500 0.000 0.848
Br: 0.500 0.500 0.070

***

(3)
Entry from the Alexandria database: a PBEsol-optimized structure of LaFeHg2 (meta-GGA SCAN).

Computed properties:
- SG = No. 123

Cell: 4.314 4.314 4.783 Å, 90.00 90.00 90.00°
Positions (direct):
La: 0.000 0.000 0.000
Fe: 0.500 0.500 0.000
Hg: 0.000 0.500 0.500
Hg: 0.500 0.000 0.500

***

(4)
Entry from the Alexandria database: a PBEsol-optimized structure of LiAlP (meta-GGA SCAN).

Computed properties:
- SG = No. 107

Cell: 3.348 3.348 8.687 Å, 90.00 90.00 90.00°
Positions (direct):
Li: 0.000 0.000 0.000
Li: 0.500 0.500 0.500
Al: 0.000 0.000 0.702
Al: 0.500 0.500 0.202
P: 0.000 0.000 0.303
P: 0.500 0.500 0.803

***

(5)
Entry from the Alexandria database: a PBEsol-optimized structure of ZnRhBr4 (meta-GGA SCAN).

Computed properties:
- energy relative to the elements, uncorrected (eV/atom) = 1.0778
- SG = No. 216

Cell: 5.935 5.935 5.935 Å, 60.00 60.00 60.00°
Positions (direct):
Zn: 0.000 0.000 0.000
Rh: 0.750 0.750 0.750
Br: 0.375 0.375 0.375
Br: 0.375 0.375 0.874
Br: 0.375 0.874 0.375
Br: 0.874 0.375 0.375

***

(6)
Entry from the Alexandria database: a PBEsol-optimized structure of TcGeOsAu2 (meta-GGA SCAN).

Computed properties:
- SG = No. 123

Cell: 5.002 5.002 4.521 Å, 90.00 90.00 90.00°
Positions (direct):
Tc: 0.000 0.000 0.000
Ge: 0.500 0.500 0.000
Os: 0.000 0.000 0.500
Au: 0.000 0.500 0.500
Au: 0.500 0.000 0.500

***

(7)
Entry from the Alexandria database: a PBEsol-optimized structure of KIn3Ge (meta-GGA SCAN).

Computed properties:
- SG = No. 221

Cell: 5.453 5.453 5.453 Å, 90.00 90.00 90.00°
Positions (direct):
K: 0.000 0.000 0.000
In: 0.000 0.500 0.500
In: 0.500 0.000 0.500
In: 0.500 0.500 0.000
Ge: 0.500 0.500 0.500

***

(8)
Entry from the Alexandria database: a PBEsol-optimized structure of YSc2Cr (meta-GGA SCAN).

Computed properties:
- ΔE to the lowest computed polymorph (kJ per mole of atoms) = 0.0
- SG = No. 99

Cell: 3.359 3.359 7.903 Å, 90.00 90.00 90.00°
Positions (direct):
Y: 0.000 0.000 0.000
Sc: 0.000 0.000 0.419
Sc: 0.500 0.500 0.691
Cr: 0.500 0.500 0.229

***

(9)
Entry from the Alexandria database: a PBEsol-optimized structure of SrCd2Rh2 (meta-GGA SCAN).

Computed properties:
- ΔE to the lowest computed polymorph (kJ per mole of atoms) = 12.3
- SG = No. 139

Cell: 4.697 4.697 9.939 Å, 90.00 90.00 90.00°
Positions (direct):
Sr: 0.000 0.000 0.000
Sr: 0.500 0.500 0.500
Cd: 0.000 0.000 0.365
Cd: 0.000 0.000 0.635
Cd: 0.500 0.500 0.135
Cd: 0.500 0.500 0.865
Rh: 0.000 0.500 0.250
Rh: 0.000 0.500 0.750
Rh: 0.500 0.000 0.250
Rh: 0.500 0.000 0.750

***

(10)
Entry from the Alexandria database: a PBEsol-optimized structure of Tl2PO4 (meta-GGA SCAN).

Computed properties:
- energy relative to the elements, uncorrected (eV/atom) = -1.6437
- SG = No. 62

Cell: 7.918 5.578 9.609 Å, 90.00 90.00 90.00°
Positions (direct):
Tl: 0.106 0.250 0.185
Tl: 0.138 0.250 0.516
Tl: 0.362 0.750 0.016
Tl: 0.394 0.750 0.685
Tl: 0.606 0.250 0.315
Tl: 0.638 0.250 0.984
Tl: 0.862 0.750 0.484
Tl: 0.894 0.750 0.815
P: 0.118 0.250 0.858
P: 0.382 0.750 0.358
P: 0.618 0.250 0.642
P: 0.882 0.750 0.142
O: 0.053 0.750 0.065
O: 0.132 0.023 0.762
O: 0.132 0.477 0.762
O: 0.237 0.750 0.468
O: 0.263 0.250 0.968
O: 0.368 0.523 0.262
O: 0.368 0.977 0.262
O: 0.447 0.250 0.565
O: 0.553 0.750 0.435
O: 0.632 0.023 0.738
O: 0.632 0.477 0.738
O: 0.737 0.750 0.032
O: 0.763 0.250 0.532
O: 0.868 0.523 0.238
O: 0.868 0.977 0.238
O: 0.947 0.250 0.935

***

(11)
Entry from the Alexandria database: a PBEsol-optimized structure of KPtS2Cl (meta-GGA SCAN).

Computed properties:
- energy relative to the elements, uncorrected (eV/atom) = -0.4687
- SG = No. 123

Cell: 4.670 4.670 5.146 Å, 90.00 90.00 90.00°
Positions (direct):
K: 0.000 0.000 0.000
Pt: 0.500 0.500 0.500
S: 0.000 0.500 0.500
S: 0.500 0.000 0.500
Cl: 0.500 0.500 0.000

***

(12)
Entry from the Alexandria database: a PBEsol-optimized structure of MgTl2In (meta-GGA SCAN).

Computed properties:
- SG = No. 166

Cell: 3.394 3.394 30.933 Å, 90.00 90.00 120.00°
Positions (direct):
Mg: 0.000 0.000 0.000
Mg: 0.333 0.667 0.667
Mg: 0.667 0.333 0.333
Tl: 0.000 0.000 0.253
Tl: 0.000 0.000 0.747
Tl: 0.333 0.667 0.414
Tl: 0.333 0.667 0.919
Tl: 0.667 0.333 0.081
Tl: 0.667 0.333 0.586
In: 0.000 0.000 0.500
In: 0.333 0.667 0.167
In: 0.667 0.333 0.833

***

(13)
Entry from the Alexandria database: a PBEsol-optimized structure of MoOsPt (meta-GGA SCAN).

Computed properties:
- ΔE to the lowest computed polymorph (kJ per mole of atoms) = 24.8
- SG = No. 156

Cell: 4.382 4.382 2.697 Å, 90.00 90.00 120.00°
Positions (direct):
Mo: 0.000 0.000 0.000
Os: 0.667 0.333 0.121
Pt: 0.333 0.667 0.564

***

(14)
Entry from the Alexandria database: a PBEsol-optimized structure of ZrSb2Br (meta-GGA SCAN).

Computed properties:
- energy relative to the elements, uncorrected (eV/atom) = -0.2778
- SG = No. 71

Cell: 3.207 5.013 12.486 Å, 90.00 90.00 90.00°
Positions (direct):
Zr: 0.000 0.000 0.000
Zr: 0.500 0.500 0.500
Sb: 0.000 0.500 0.291
Sb: 0.000 0.500 0.709
Sb: 0.500 0.000 0.209
Sb: 0.500 0.000 0.791
Br: 0.000 0.000 0.500
Br: 0.500 0.500 0.000

***

(15)
Entry from the Alexandria database: a PBEsol-optimized structure of CdIn2Ag (meta-GGA SCAN).

Computed properties:
- SG = No. 123

Cell: 3.119 3.119 8.766 Å, 90.00 90.00 90.00°
Positions (direct):
Cd: 0.000 0.000 0.000
In: 0.500 0.500 0.270
In: 0.500 0.500 0.730
Ag: 0.000 0.000 0.500

***

(16)
Entry from the Alexandria database: a PBEsol-optimized structure of TiCdIO2 (meta-GGA SCAN).

Computed properties:
- energy relative to the elements, uncorrected (eV/atom) = -1.3735
- SG = No. 123

Cell: 3.940 3.940 5.679 Å, 90.00 90.00 90.00°
Positions (direct):
Ti: 0.000 0.000 0.000
Cd: 0.500 0.500 0.500
I: 0.000 0.000 0.500
O: 0.000 0.500 0.000
O: 0.500 0.000 0.000

***

(17)
Entry from the Alexandria database: a PBEsol-optimized structure of Zn3AsPt (meta-GGA SCAN).

Computed properties:
- ΔE to the lowest computed polymorph (kJ per mole of atoms) = 39.0
- SG = No. 221

Cell: 4.598 4.598 4.598 Å, 90.00 90.00 90.00°
Positions (direct):
Zn: 0.000 0.000 0.500
Zn: 0.000 0.500 0.000
Zn: 0.500 0.000 0.000
As: 0.000 0.000 0.000
Pt: 0.500 0.500 0.500

***

(18)
Entry from the Alexandria database: a PBEsol-optimized structure of Ca3MnTc (meta-GGA SCAN).

Computed properties:
- ΔE to the lowest computed polymorph (kJ per mole of atoms) = 0.0
- SG = No. 221

Cell: 5.331 5.331 5.331 Å, 90.00 90.00 90.00°
Positions (direct):
Ca: 0.000 0.000 0.500
Ca: 0.000 0.500 0.000
Ca: 0.500 0.000 0.000
Mn: 0.500 0.500 0.500
Tc: 0.000 0.000 0.000

***

(19)
Entry from the Alexandria database: a PBEsol-optimized structure of Ta2OsW (meta-GGA SCAN).

Computed properties:
- ΔE to the lowest computed polymorph (kJ per mole of atoms) = 0.0
- SG = No. 225

Cell: 6.356 6.356 6.356 Å, 90.00 90.00 90.00°
Positions (direct):
Ta: 0.250 0.250 0.250
Ta: 0.250 0.250 0.750
Ta: 0.250 0.750 0.250
Ta: 0.250 0.750 0.750
Ta: 0.750 0.250 0.250
Ta: 0.750 0.250 0.750
Ta: 0.750 0.750 0.250
Ta: 0.750 0.750 0.750
Os: 0.000 0.000 0.000
Os: 0.000 0.500 0.500
Os: 0.500 0.000 0.500
Os: 0.500 0.500 0.000
W: 0.000 0.000 0.500
W: 0.000 0.500 0.000
W: 0.500 0.000 0.000
W: 0.500 0.500 0.500

***

(20)
Entry from the Alexandria database: a PBEsol-optimized structure of La2Te2Br (meta-GGA SCAN).

Computed properties:
- energy relative to the elements, uncorrected (eV/atom) = -1.8830
- SG = No. 127

Cell: 8.467 8.467 4.227 Å, 90.00 90.00 90.00°
Positions (direct):
La: 0.156 0.344 0.000
La: 0.344 0.844 0.000
La: 0.656 0.156 0.000
La: 0.844 0.656 0.000
Te: 0.143 0.643 0.500
Te: 0.357 0.143 0.500
Te: 0.643 0.857 0.500
Te: 0.857 0.357 0.500
Br: 0.000 0.000 0.000
Br: 0.500 0.500 0.000

***

Number 1: calculated total energy -282.36 eV for the cell shown. Number 2: calculated total energy -186.40 eV for the cell shown. Number 3: calculated total energy -197.57 eV for the cell shown. Number 4: calculated total energy -42.15 eV for the cell shown. Number 5: calculated total energy -118.66 eV for the cell shown. Number 6: calculated total energy -257.21 eV for the cell shown. Number 7: calculated total energy -126.82 eV for the cell shown. Number 8: calculated total energy -74.27 eV for the cell shown. Number 9: calculated total energy -302.12 eV for the cell shown. Number 10: calculated total energy -766.18 eV for the cell shown. Number 11: calculated total energy -108.10 eV for the cell shown. Number 12: calculated total energy -549.15 eV for the cell shown. Number 13: calculated total energy -176.50 eV for the cell shown. Number 14: calculated total energy -251.58 eV for the cell shown. Number 15: calculated total energy -128.32 eV for the cell shown. Number 16: calculated total energy -102.52 eV for the cell shown. Number 17: calculated total energy -127.65 eV for the cell shown. Number 18: calculated total energy -78.63 eV for the cell shown. Number 19: calculated total energy -1105.31 eV for the cell shown. Number 20: calculated total energy -379.17 eV for the cell shown.